! Sc2BF, optimized geometry, DFT PBE; values from VASP
&SYSTEM
  ibrav = 0, nat = 4, ntyp = 3
/
ATOMIC_SPECIES
Sc 44.96 Sc.upf
B 10.81 B.upf
F 19.00 F.upf
CELL_PARAMETERS angstrom
1.837 1.060 6.444
-1.837 1.060 6.444
0.000 -2.121 6.444
ATOMIC_POSITIONS crystal
Sc 0.107 0.107 0.107
Sc 0.893 0.893 0.893
B 0.500 0.500 0.500
F 0.000 0.000 0.000
! E: -0.495 Ry per atom
! Energy relative to the lowest polymorph listed for this composition: 0 meV per atom
! Magnetic moment: 0.0 μB/f.u.
! Volume: 75.3 Å³ per cell
! ΔE_f (raw): -1.4385 eV/atom
! DOS(E_F): 0.0 states/eV/f.u.